(1)
Compound: PmPrSm4
Source: the Alexandria database
Functional: GGA-PBE
Structure: relaxed

Computed properties:
Density of states at the Fermi level (states/eV per cell): 16.8
Formation energy from the elements (eV per atom): 0.226
M_tot (μB per atom): 0.0000

a = 7.084 Å, b = 7.084 Å, c = 9.759 Å
α = 90.00°, β = 90.00°, γ = 121.42°
Sites, in units of the cell vectors:
Pm  0.000  0.000  0.000
Pm  0.000  0.000  0.500
Pr  0.180  0.820  0.750
Pr  0.820  0.180  0.250
Sm  0.655  0.345  0.927
Sm  0.345  0.655  0.427
Sm  0.345  0.655  0.073
Sm  0.655  0.345  0.573
Sm  0.366  0.160  0.250
Sm  0.634  0.840  0.750
Sm  0.160  0.366  0.750
Sm  0.840  0.634  0.250

---

(2)
Compound: CrNiCl2
Source: the Alexandria database
Functional: GGA-PBE
Structure: relaxed

Computed properties:
Density of states at the Fermi level (states/eV per cell): 4.9
Formation energy from raw total energies (meV/atom): 229.6
M_tot (μB per atom): 1.3042

a = 4.465 Å, b = 4.465 Å, c = 3.232 Å
α = 90.00°, β = 90.00°, γ = 89.97°
Site moments in Bohr magnetons follow the coordinates.
Sites, in units of the cell vectors:
Ni  0.000  0.500  0.500  0.73
Cl  0.000  0.000  0.000  0.04
Cl  0.500  0.500  0.000  0.04
Cr  0.500  0.000  0.500  3.96